A relaxed CaTb2N crystal, computed with PBE.

Geometry as POSCAR:
```
CaTb2N
1.0
-0.982 2.332 2.469
0.801 -0.577 3.394
8.160 5.259 0.809
Ca Tb N
1 2 1
Direct
0.000 0.000 0.000
0.120 0.120 0.639
0.880 0.880 0.361
0.500 0.500 0.500
```

***

A relaxed Ca2Tb4N crystal, computed with PBE.

Geometry as POSCAR:
```
Ca2Tb4N
1.0
-2.157 -4.286 1.059
2.378 -0.135 4.298
-6.836 2.268 6.663
Ca Tb N
2 4 1
Direct
0.670 0.670 0.661
0.330 0.330 0.339
0.874 0.874 0.251
0.126 0.126 0.749
0.000 0.500 0.000
0.500 0.000 0.000
0.000 0.000 0.000
```

***

A relaxed CaTb3N4 crystal, computed with PBE.

Geometry as POSCAR:
```
CaTb3N4
1.0
-4.522 1.675 -1.083
-1.814 -2.334 3.962
0.831 4.022 2.750
Ca Tb N
1 3 4
Direct
0.000 0.000 0.000
0.000 0.500 0.500
0.500 0.000 0.500
0.500 0.500 0.000
0.500 0.000 0.000
0.000 0.500 0.000
0.000 0.000 0.500
0.500 0.500 0.500
```

***

A relaxed CaTb3N crystal, computed with PBE.

Geometry as POSCAR:
```
CaTb3N
1.0
-4.203 0.071 -2.764
-2.484 -2.308 3.717
-1.215 4.470 1.963
Ca Tb N
1 3 1
Direct
0.500 0.500 0.500
0.000 0.500 0.000
0.000 0.000 0.500
0.500 0.000 0.000
0.000 0.000 0.000
```

***

A relaxed Ca3TbU3N8 crystal, computed with PBE.

Geometry as POSCAR:
```
Ca3TbU3N8
1.0
6.967 0.000 0.000
-3.484 6.034 -0.021
0.000 -4.003 5.696
Ca Tb U N
3 1 3 8
Direct
0.000 0.000 0.000
0.000 0.500 0.000
0.500 0.500 0.000
0.000 0.000 0.500
0.500 0.000 0.500
0.500 0.500 0.500
0.000 0.500 0.500
0.258 0.517 0.275
0.742 0.483 0.725
0.762 0.524 0.308
0.238 0.476 0.692
0.762 0.046 0.308
0.238 0.954 0.692
0.284 0.046 0.308
0.716 0.954 0.692
```

***

A relaxed Ca2Tb3UN6 crystal, computed with PBE.

Geometry as POSCAR:
```
Ca2Tb3UN6
1.0
6.044 0.005 0.000
-3.016 5.237 0.000
-1.009 -1.748 5.683
Ca Tb U N
2 3 1 6
Direct
0.334 0.666 0.000
0.666 0.334 0.000
0.167 0.833 0.500
0.833 0.167 0.500
0.500 0.500 0.500
0.000 0.000 0.000
0.917 0.615 0.751
0.782 0.782 0.241
0.083 0.385 0.249
0.615 0.917 0.751
0.218 0.218 0.759
0.385 0.083 0.249
```

***

A relaxed Ca4TbU3N8 crystal, computed with PBE.

Geometry as POSCAR:
```
Ca4TbU3N8
1.0
6.994 0.000 0.000
0.000 6.993 -0.006
-3.497 -3.493 4.948
Ca Tb U N
4 1 3 8
Direct
0.500 0.000 0.000
0.500 0.000 0.500
0.000 0.000 0.000
0.000 0.000 0.500
0.000 0.500 0.000
0.500 0.500 0.000
0.500 0.500 0.500
0.000 0.500 0.500
0.246 0.714 0.968
0.246 0.714 0.492
0.261 0.283 0.522
0.722 0.714 0.968
0.278 0.286 0.032
0.739 0.717 0.478
0.754 0.286 0.508
0.754 0.286 0.032
```

***

A relaxed Ca2TbUN4 crystal, computed with PBE.

Geometry as POSCAR:
```
Ca2TbUN4
1.0
3.531 0.000 0.000
0.000 6.014 0.122
0.000 -2.090 5.657
Ca Tb U N
2 1 1 4
Direct
0.500 0.000 0.500
0.000 0.500 0.500
0.000 0.000 0.000
0.500 0.500 0.000
0.500 0.265 0.215
0.500 0.735 0.785
0.000 0.273 0.782
0.000 0.727 0.218
```

***

A relaxed CaTb2WN4 crystal, computed with PBE.

Geometry as POSCAR:
```
CaTb2WN4
1.0
-3.170 -0.867 0.629
2.967 -5.383 -1.364
2.756 -1.482 11.845
Ca Tb W N
2 4 2 8
Direct
0.072 0.144 0.750
0.928 0.856 0.250
0.372 0.744 0.538
0.628 0.256 0.038
0.628 0.256 0.462
0.372 0.744 0.962
0.817 0.633 0.750
0.183 0.367 0.250
0.263 0.526 0.119
0.737 0.474 0.619
0.737 0.474 0.881
0.263 0.526 0.381
0.000 0.000 0.500
0.000 0.000 0.000
0.427 0.853 0.750
0.573 0.147 0.250
```

***

A relaxed CaTcN3 crystal, computed with PBE.

Geometry as POSCAR:
```
CaTcN3
1.0
5.755 0.000 -0.005
0.000 4.134 0.000
-3.808 0.000 5.565
Ca Tc N
2 2 6
Direct
0.785 0.839 0.272
0.315 0.339 0.302
0.218 0.077 0.809
0.882 0.577 0.765
0.812 0.365 0.032
0.567 0.276 0.951
0.287 0.865 0.542
0.533 0.776 0.623
0.849 0.306 0.530
0.251 0.806 0.044
```

***

A relaxed CaTc3N crystal, computed with PBE.

Results
Excess energy over the best structure of this formula in the dataset = 0.00 kcal/mol of atoms

Geometry as POSCAR:
```
CaTc3N
1.0
-0.918 -2.028 -3.555
3.443 -2.352 0.453
-2.212 -2.819 2.180
Ca Tc N
1 3 1
Direct
0.500 0.500 0.500
0.000 0.500 0.000
0.000 0.000 0.500
0.500 0.000 0.000
0.000 0.000 0.000
```

***

| no. | magnetic moment (μB per atom) | E_form (uncorrected) (meV per atom) | total energy (eV/atom) |
| --- | --- | --- | --- |
| 1 | 0.176 | -662 | -5.56 |
| 2 | 0.000 | -239 | -4.65 |
| 3 | 0.000 | -1340 | -7.49 |
| 4 | 0.000 | -468 | -5.31 |
| 5 | 0.201 | -1235 | -8.64 |
| 6 | 0.062 | -1489 | -8.08 |
| 7 | 0.301 | -1341 | -8.41 |
| 8 | 0.121 | -1400 | -8.05 |
| 9 | 0.000 | -1041 | -8.23 |
| 10 | 0.000 | -317 | -7.79 |
| 11 | 0.294 | 248 | -8.04 |